## P
Ca3InMo: relaxed, PBEsol.

The space group is Pm-3m (No. 221) and the conventional cell measures 5.349, 5.349 and 5.349 Å, with angles of 90.00, 90.00 and 90.00 degrees. The inequivalent atoms are Ca at (0.000, 0.000, 0.500), In at (0.500, 0.500, 0.500) and Mo at (0.000, 0.000, 0.000).

The value obtained for the total magnetic moment is 0.00 Bohr magnetons per cell.

## Q
Ca3InMo: relaxed, PBEsol.

The space group is Pm-3m (No. 221) and the conventional cell measures 5.817, 5.817 and 5.817 Å, with angles of 90.00, 90.00 and 90.00 degrees. The inequivalent atoms are Ca at (0.000, 0.000, 0.500), In at (0.000, 0.000, 0.000) and Mo at (0.500, 0.500, 0.500).

The value obtained for the total magnetic moment is 4.95 Bohr magnetons per cell.

Most stable pick: P. Distance to second place: 252 meV/atom.

## P
CaIn2Mo: relaxed, PBEsol.

The space group is P4/mmm (No. 123) and the conventional cell measures 3.062, 3.062 and 8.890 Å, with angles of 90.00, 90.00 and 90.00 degrees. The inequivalent atoms are Ca at (0.000, 0.000, 0.000), In at (0.500, 0.500, 0.277) and Mo at (0.000, 0.000, 0.500).

The value obtained for the total magnetic moment is 0.39 Bohr magnetons per cell.

## Q
CaIn2Mo: relaxed, PBEsol.

The space group is F-43m (No. 216) and the conventional cell measures 6.974, 6.974 and 6.974 Å, with angles of 90.00, 90.00 and 90.00 degrees. The inequivalent atoms are Ca at (0.000, 0.000, 0.000), In at (0.000, 0.000, 0.500), In at (0.250, 0.250, 0.750) and Mo at (0.250, 0.250, 0.250).

The value obtained for the total magnetic moment is 2.56 Bohr magnetons per cell.

Most stable pick: P. Distance to second place: 477 meV/atom.